Entry from Alexandria via LeMat-Bulk: CaLa2YRh after structural relaxation (GGA-PBE).

formation energy: -0.290 eV/atom
final energy: -5.424 eV/atom
offset from the most stable computed form: 0.000 eV per atom
space group: No. 123
D(E_F): 6.07 states/eV/f.u.

Structure (POSCAR):
```
CaLa2YRh
1.0
5.636 0.000 0.000
0.000 5.636 0.000
0.000 0.000 5.641
Ca La Y Rh
1 2 1 1
Cartesian
0.000 0.000 0.000 Ca
0.000 2.818 2.820 La
2.818 0.000 2.820 La
2.818 2.818 0.000 Y
2.818 2.818 2.820 Rh
```